A plane-wave DFT calculation with PBE-GGA was carried out for ZnSiBr2 after structural relaxation.

```
ZnSiBr2
1.0
3.5043 0.0000 0.0000
0.0000 8.6963 0.0000
0.0000 0.0000 9.3061
Zn Si Br
2 2 4
Direct
0.0000 0.0000 0.0000
0.5000 0.5000 0.5000
0.0000 0.5000 0.6931
0.5000 0.0000 0.1931
0.0000 0.0000 0.3996
0.0000 0.5000 0.3113
0.5000 0.0000 0.8113
0.5000 0.5000 0.8996
```

Calculated values
VASP energy ... -9.8 eV/f.u.
Crystal system ... orthorhombic

A plane-wave DFT calculation with PBE-GGA was carried out for AgW3N after structural relaxation.

```
AgW3N
1.0
4.1547 0.0000 0.0000
0.0000 4.1547 0.0000
0.0000 0.0000 4.1547
Ag W N
1 3 1
Direct
0.0000 0.0000 0.0000
0.0000 0.5000 0.5000
0.5000 0.0000 0.5000
0.5000 0.5000 0.0000
0.5000 0.5000 0.5000
```

Calculated values
VASP energy ... -48.5 eV/f.u.
Crystal system ... cubic

A plane-wave DFT calculation with PBE-GGA was carried out for RbNi2S2 after structural relaxation.

```
RbNi2S2
1.0
0.0000 5.2254 5.3499
3.3755 0.0000 5.3499
3.3755 5.2254 0.0000
Rb Ni S
2 4 4
Direct
0.1250 0.1250 0.1250
0.8750 0.8750 0.8750
0.2521 0.2521 0.4979
0.4979 0.4979 0.2521
0.5021 0.5021 0.7479
0.7479 0.7479 0.5021
0.2008 0.5492 0.2008
0.4508 0.7992 0.4508
0.5492 0.2008 0.5492
0.7992 0.4508 0.7992
```

Calculated values
VASP energy ... -23.4 eV/f.u.
Crystal system ... orthorhombic

Q: Which formula does entry 1 have?
A: ZnSiBr2

Q: Look up the VASP energy of the third one.
A: -23.4 eV/f.u.